Pm4DyAg | PBE | relaxed

## Properties
- total energy (eV per atom) = -4.479
- magnetic moment (μB/atom) = 0.000
- density (g/cm³) = 7.52

abc: 3.6448 3.6448 14.1320
angles: 90.00 90.00 90.00
Closest atoms and distances in Å follow each position.
Space group P4/mmm (No. 123)
Asymmetric unit:
1 Pm 0.0000 0.0000 0.1387 (multiplicity 2)  4 Ag 3.24
2 Pm 0.5000 0.5000 0.3231 (multiplicity 2)  4 Dy 3.59, 8 Pm 3.64-3.67
3 Dy 0.0000 0.0000 0.5000 (multiplicity 1)  8 Pm 3.59, 4 Dy 3.64
4 Ag 0.5000 0.5000 0.0000 (multiplicity 1)  8 Pm 3.24

Y2ZnNi | PBE | relaxed

## Properties
- total energy (eV per atom) = -5.243
- magnetic moment (μB/atom) = 0.121
- density (g/cm³) = 5.21

abc: 4.1731 4.1731 19.1332
angles: 90.00 90.00 120.00
Closest atoms and distances in Å follow each position.
Space group R3m (No. 160, hexagonal axes)
Asymmetric unit:
1 Y 0.0000 0.0000 0.0000 (multiplicity 3)  3 Zn 2.96, 3 Ni 3.00
2 Y 0.0000 0.0000 0.1815 (multiplicity 3)  3 Ni 2.94, 3 Zn 2.98
3 Zn 0.0000 0.0000 0.4230 (multiplicity 3)  3 Ni 2.41
4 Ni 0.0000 0.0000 0.7597 (multiplicity 3)  3 Zn 2.41

ScBeRe2 | PBE | relaxed

## Properties
- total energy (eV per atom) = -8.713
- magnetic moment (μB/atom) = 0.000
- density (g/cm³) = 11.82

abc: 3.1299 3.1299 6.1162
angles: 90.00 90.00 90.00
Closest atoms and distances in Å follow each position.
Space group P4/mmm (No. 123)
Asymmetric unit:
1 Sc 0.0000 0.0000 0.0000 (multiplicity 1)  8 Re 2.91, 2 Be 3.06, 4 Sc 3.13
2 Be 0.0000 0.0000 0.5000 (multiplicity 1)  8 Re 2.50
3 Re 0.5000 0.5000 0.3083 (multiplicity 2)  1 Re 2.35, 4 Be 2.50

Pm3Zn3Ge2 | PBE | relaxed

## Properties
- total energy (eV per atom) = -3.985
- magnetic moment (μB/atom) = 0.000
- density (g/cm³) = 6.98

abc: 4.1925 11.2278 15.6937
angles: 90.00 90.00 90.00
Closest atoms and distances in Å follow each position.
Space group Cmcm (No. 63)
Asymmetric unit:
1 Pm 0.0000 0.0759 0.2500 (multiplicity 4)  5 Zn 3.06-3.30, 4 Ge 3.10
2 Pm 0.0000 0.3579 0.0911 (multiplicity 8)  4 Ge 3.10-3.38, 7 Zn 3.20-3.31
3 Zn 0.0000 0.0738 0.0548 (multiplicity 8)  1 Zn 2.39, 2 Ge 2.49
4 Zn 0.0000 0.1966 0.7500 (multiplicity 4)  2 Ge 2.66
5 Ge 0.0000 0.3429 0.6167 (multiplicity 8)  3 Zn 2.49-2.66

CsRbBa2Pd | PBE | relaxed

## Properties
- total energy (eV per atom) = -2.247
- magnetic moment (μB/atom) = 0.000
- density (g/cm³) = 3.28

abc: 6.3639 6.3639 7.4897
angles: 90.00 90.00 90.00
Closest atoms and distances in Å follow each position.
Space group P4/mmm (No. 123)
Asymmetric unit:
1 Cs 0.0000 0.0000 0.0000 (multiplicity 1)  4 Rb 4.50, 8 Ba 4.91
2 Rb 0.5000 0.5000 0.0000 (multiplicity 1)  2 Pd 3.74
3 Ba 0.0000 0.5000 0.5000 (multiplicity 2)  2 Pd 3.18
4 Pd 0.5000 0.5000 0.5000 (multiplicity 1)  4 Ba 3.18

Pm2Nd5Sm4 | PBE | relaxed

## Properties
- total energy (eV per atom) = -4.615
- magnetic moment (μB/atom) = 0.000
- density (g/cm³) = 7.00

abc: 24.4346 3.5172 8.9698
angles: 90.00 96.85 90.00
Closest atoms and distances in Å follow each position.
Space group C2/m (No. 12)
Asymmetric unit:
1 Pm 0.0910 0.0000 0.2321 (multiplicity 4)  2 Sm 3.35-3.37, 2 Nd 3.43-3.52, 2 Pm 3.52
2 Nd 0.0000 0.5000 0.5000 (multiplicity 2)  6 Nd 3.52-3.89, 4 Sm 3.75, 4 Pm 3.88
3 Nd 0.1404 0.0000 0.6170 (multiplicity 4)  3 Sm 3.38-3.65, 5 Nd 3.52-3.65, 1 Pm 3.52
4 Nd 0.2313 0.0000 0.3231 (multiplicity 4)  1 Pm 3.43, 7 Nd 3.52-3.65, 3 Sm 3.66-3.71
5 Sm 0.0457 0.0000 0.8622 (multiplicity 4)  2 Pm 3.35-3.37, 3 Nd 3.38-3.75, 5 Sm 3.52-3.69
6 Sm 0.1773 0.5000 0.9714 (multiplicity 4)  4 Sm 3.52-3.69, 5 Nd 3.65-3.71, 2 Pm 3.77

Among the records above, which one has the highest total energy? CsRbBa2Pd

What is the total energy in the third record? -8.713 eV per atom